[1]
Below is SrCa2Cu after structural relaxation, with properties calculated at the GGA-PBE level.

The structure belongs to space group I4/mmm (No. 139); the cell edges are 4.8900, 4.8900 and 11.5615 Å and the angles 90.00°, 90.00° and 90.00°. The distinct sites, in fractional coordinates, are Sr at (0.0000, 0.0000, 0.0000), Ca at (0.0000, 0.5000, 0.2500) and Cu at (0.0000, 0.0000, 0.5000).

The calculation puts the density of states at the Fermi level at 3.60 states/eV/f.u. The calculation puts the calculated total energy at -8.9 eV/f.u. The total moment is 0.0 μB per formula unit. The formation energy comes out at 83 kJ/mol of formula units. For the energy above the lowest structure with this stoichiometry, the calculation gives 0.2597 eV/atom.

---

[2]
Below is Fe2P after structural relaxation, with properties calculated at the GGA-PBE level.

The structure belongs to space group I4_1/amd (No. 141, origin choice 2); the cell edges are 3.5314, 3.5314 and 21.9387 Å and the angles 90.00°, 90.00° and 90.00°. The distinct sites, in fractional coordinates, are Fe at (0.0000, 0.2500, 0.1209), Fe at (0.0000, 0.2500, 0.2900) and P at (0.0000, 0.2500, 0.8068).

The calculation puts the density of states at the Fermi level at 3.47 states/eV/f.u. The calculation puts the calculated total energy at -22.7 eV/f.u. The total moment is 3.1 μB per formula unit. The formation energy comes out at -33 kJ/mol of formula units.

---

[3]
Below is LaIn2SbH after structural relaxation, with properties calculated at the GGA-PBE level.

The structure belongs to space group P4/mmm (No. 123); the cell edges are 4.8618, 4.8618 and 4.8377 Å and the angles 90.00°, 90.00° and 90.00°. The distinct sites, in fractional coordinates, are La at (0.0000, 0.0000, 0.0000), In at (0.0000, 0.5000, 0.5000), Sb at (0.5000, 0.5000, 0.0000) and H at (0.0000, 0.0000, 0.5000).

The calculation puts the density of states at the Fermi level at 2.25 states/eV/f.u. The calculation puts the calculated total energy at -19.6 eV/f.u. The total moment is 0.0 μB per formula unit.

---

[4]
Below is ZnCdBr after structural relaxation, with properties calculated at the GGA-PBE level.

The structure belongs to space group Amm2 (No. 38); the cell edges are 15.0757, 3.5505 and 6.1450 Å and the angles 90.00°, 90.00° and 90.00°. The distinct sites, in fractional coordinates, are Zn at (0.0000, 0.0000, 0.0000), Zn at (0.5000, 0.0000, 0.2264), Cd at (0.3644, 0.0000, 0.8921) and Br at (0.1110, 0.0000, 0.3331).

The calculation puts the density of states at the Fermi level at 0.46 states/eV/f.u. The calculation puts the calculated total energy at -4.3 eV/f.u. The total moment is 0.0 μB per formula unit. For the energy relative to the elements, uncorrected, the calculation gives -0.135 eV per atom. For the energy above the lowest structure with this stoichiometry, the calculation gives 0.0643 eV/atom.

---

[5]
Below is GeIr2Rh after structural relaxation, with properties calculated at the GGA-PBE level.

The structure belongs to space group I-42d (No. 122); the cell edges are 5.3163, 5.3163 and 12.0566 Å and the angles 90.00°, 90.00° and 90.00°. The distinct sites, in fractional coordinates, are Ge at (0.0000, 0.0000, 0.0000), Ir at (0.2470, 0.2500, 0.1250) and Rh at (0.0000, 0.0000, 0.5000).

The calculation puts the density of states at the Fermi level at 3.45 states/eV/f.u. The calculation puts the calculated total energy at -26.8 eV/f.u. The total moment is 0.0 μB per formula unit. The formation energy comes out at 281 kJ/mol of formula units.

---

[6]
Below is ScZn2P after structural relaxation, with properties calculated at the GGA-PBE level.

The structure belongs to space group P4/mmm (No. 123); the cell edges are 3.7682, 3.7682 and 4.6268 Å and the angles 90.00°, 90.00° and 90.00°. The distinct sites, in fractional coordinates, are Sc at (0.0000, 0.0000, 0.0000), Zn at (0.0000, 0.5000, 0.5000) and P at (0.5000, 0.5000, 0.0000).

The calculation puts the density of states at the Fermi level at 1.30 states/eV/f.u. The calculation puts the calculated total energy at -16.2 eV/f.u. The total moment is 0.0 μB per formula unit. The formation energy comes out at -188 kJ/mol of formula units.

---

[7]
Below is TbSmMg2Pd4 after structural relaxation, with properties calculated at the GGA-PBE level.

The structure belongs to space group R-3m (No. 166, hexagonal axes); the cell edges are 4.8148, 4.8148 and 23.6412 Å and the angles 90.00°, 90.00° and 120.00°. The distinct sites, in fractional coordinates, are Tb at (0.0000, 0.0000, 0.0000), Sm at (0.0000, 0.0000, 0.5000), Mg at (0.0000, 0.0000, 0.2508), Pd at (0.0000, 0.0000, 0.1230) and Pd at (0.0000, 0.0000, 0.3741).

The calculation puts the density of states at the Fermi level at 4.27 states/eV/f.u. The calculation puts the calculated total energy at -39.4 eV/f.u. The total moment is 0.0 μB per formula unit. The formation energy comes out at -589 kJ/mol of formula units.

---

[8]
Below is MnRuW after structural relaxation, with properties calculated at the GGA-PBE level.

The structure belongs to space group Fmm2 (No. 42); the cell edges are 3.1570, 4.3695 and 12.4502 Å and the angles 90.00°, 90.00° and 90.00°. The distinct sites, in fractional coordinates, are Mn at (0.0000, 0.0000, 0.0000), Ru at (0.0000, 0.0000, 0.3373) and W at (0.0000, 0.0000, 0.6643).

The calculation puts the density of states at the Fermi level at 4.02 states/eV/f.u. The calculation puts the calculated total energy at -30.7 eV/f.u. The total moment is 2.6 μB per formula unit. The formation energy comes out at 66 kJ/mol of formula units. For the energy above the lowest structure with this stoichiometry, the calculation gives 0.1402 eV/atom.